A plane-wave DFT calculation with PBE was carried out for an optimized crystal structure of Hf3AgHg3F20.

Cell: 10.7876 10.7876 8.6203 Å, 90.00 90.00 120.00°
Space group P6_3/m (No. 176)
Inequivalent atoms, fractional coordinates:
Hf: 0.1415 0.7227 0.2500
Ag: 0.0000 0.0000 0.2500
Hg: 0.1622 0.7319 0.7500
F: 0.0000 0.0000 0.0000
F: 0.0265 0.2301 0.7500
F: 0.0525 0.4663 0.7500
F: 0.0587 0.2846 0.2500
F: 0.1473 0.7203 0.0195
F: 0.1859 0.5522 0.2500
F: 0.3333 0.6667 0.7500

The formation energy without anion corrections is -73.77 eV/f.u. The total energy comes out at -5.363 eV/atom.